VASP calculation (GGA-PBE) on a geometry-optimized Na3Zn2Sn3 structure.

Unit cell a=5.8663 b=5.8663 c=15.4087 alpha=90.00 beta=90.00 gamma=129.69
With the nearest neighbours (Å) after each atom.
Fractional coordinates of all 16 atoms:
Na 0.0182 0.9818 0.7500  7 Sn 3.13-3.45, 2 Zn 3.26
Na 0.1508 0.8492 0.0342  3 Zn 3.24-3.43, 6 Sn 3.35-3.58, 3 Na 3.37-3.43
Na 0.1508 0.8492 0.4658  3 Zn 3.24-3.43, 6 Sn 3.35-3.58, 3 Na 3.37-3.43
Na 0.8492 0.1508 0.5342  3 Zn 3.24-3.43, 6 Sn 3.35-3.58, 3 Na 3.37-3.43
Na 0.8492 0.1508 0.9658  3 Zn 3.24-3.43, 6 Sn 3.35-3.58, 3 Na 3.37-3.43
Na 0.9818 0.0182 0.2500  7 Sn 3.13-3.45, 2 Zn 3.26
Zn 0.2984 0.7016 0.6640  1 Zn 2.65, 3 Sn 2.76-2.93
Zn 0.2984 0.7016 0.8360  1 Zn 2.65, 3 Sn 2.76-2.93
Zn 0.7016 0.2984 0.1640  1 Zn 2.65, 3 Sn 2.76-2.93
Zn 0.7016 0.2984 0.3360  1 Zn 2.65, 3 Sn 2.76-2.93
Sn 0.2770 0.7230 0.2500  4 Zn 2.93, 2 Sn 3.07, 1 Na 3.13
Sn 0.4608 0.5392 0.0961  1 Zn 2.76, 2 Sn 3.07
Sn 0.4608 0.5392 0.4039  1 Zn 2.76, 2 Sn 3.07
Sn 0.5392 0.4608 0.5961  1 Zn 2.76, 2 Sn 3.07
Sn 0.5392 0.4608 0.9039  1 Zn 2.76, 2 Sn 3.07
Sn 0.7230 0.2770 0.7500  4 Zn 2.93, 2 Sn 3.07, 1 Na 3.13

Computed properties:
Space-group type: Cmcm, No. 63
Crystal system: orthorhombic
Polymorph energy (0 for the lowest one) (eV/f.u.): 0.46
Theoretical density (g/cm3): 4.5
Total moment (Bohr magnetons per cell): 0.000

VASP calculation (GGA-PBE) on a geometry-optimized Na3Zn2Sn5 structure.

Unit cell a=9.7451 b=9.7451 c=9.7451 alpha=108.97 beta=87.79 gamma=135.53
With the nearest neighbours (Å) after each atom.
Fractional coordinates of all 20 atoms:
Na 0.1368 0.7362 0.8729  1 Zn 3.31, 1 Sn 3.59
Na 0.2500 0.2500 0.0000  4 Zn 3.11, 2 Sn 3.26
Na 0.3632 0.2362 0.5994  1 Zn 3.31, 1 Sn 3.59
Na 0.6368 0.7638 0.4006  1 Zn 3.31, 1 Sn 3.59
Na 0.7500 0.7500 0.0000  4 Zn 3.11, 2 Sn 3.26
Na 0.8632 0.2638 0.1271  1 Zn 3.31, 1 Sn 3.59
Zn 0.1424 0.1339 0.2762  3 Sn 2.62-2.70
Zn 0.3576 0.6339 0.9915  3 Sn 2.62-2.70
Zn 0.6424 0.3661 0.0085  3 Sn 2.62-2.70
Zn 0.8576 0.8661 0.7238  3 Sn 2.62-2.70
Sn 0.0177 0.2500 0.7677  2 Zn 2.70
Sn 0.1293 0.3649 0.4942  1 Zn 2.62
Sn 0.2500 0.7500 0.5000  4 Sn 3.01
Sn 0.3707 0.8649 0.2356  1 Zn 2.62
Sn 0.4823 0.2500 0.2323  2 Zn 2.70
Sn 0.5177 0.7500 0.7677  2 Zn 2.70
Sn 0.6293 0.1351 0.7644  1 Zn 2.62
Sn 0.7500 0.2500 0.5000  4 Sn 3.01
Sn 0.8707 0.6351 0.5058  1 Zn 2.62
Sn 0.9823 0.7500 0.2323  2 Zn 2.70

Computed properties:
Space-group type: Ibam, No. 72
Crystal system: orthorhombic
Theoretical density (g/cm3): 4.5
Total moment (Bohr magnetons per cell): 0.000

VASP calculation (GGA-PBE) on a geometry-optimized NaZnSn3 structure.

Unit cell a=5.3454 b=5.3454 c=5.3454 alpha=90.00 beta=90.00 gamma=90.00
With the nearest neighbours (Å) after each atom.
Fractional coordinates of all 5 atoms:
Na 0.0000 0.0000 0.0000  12 Sn 3.78
Zn 0.5000 0.5000 0.5000  6 Sn 2.67
Sn 0.0000 0.5000 0.5000  2 Zn 2.67
Sn 0.5000 0.0000 0.5000  2 Zn 2.67
Sn 0.5000 0.5000 0.0000  2 Zn 2.67

Computed properties:
Space-group type: Pm-3m, No. 221
Crystal system: cubic
Polymorph energy (0 for the lowest one) (eV/f.u.): 1.29
Theoretical density (g/cm3): 4.8
Total moment (Bohr magnetons per cell): 0.000

VASP calculation (GGA-PBE) on a geometry-optimized NaZnSn structure.

Unit cell a=4.1726 b=4.1726 c=8.3659 alpha=90.00 beta=90.00 gamma=90.00
With the nearest neighbours (Å) after each atom.
Fractional coordinates of all 6 atoms:
Na 0.2500 0.2500 0.1282  5 Sn 3.20-3.37
Na 0.7500 0.7500 0.8718  5 Sn 3.20-3.37
Zn 0.2500 0.7500 0.5000  4 Sn 2.81, 4 Zn 2.95
Zn 0.7500 0.2500 0.5000  4 Sn 2.81, 4 Zn 2.95
Sn 0.2500 0.2500 0.7249  4 Zn 2.81
Sn 0.7500 0.7500 0.2751  4 Zn 2.81

Computed properties:
Space-group type: P4/nmm, No. 129
Crystal system: tetragonal
Theoretical density (g/cm3): 4.7
Total moment (Bohr magnetons per cell): 0.000

VASP calculation (GGA-PBE) on a geometry-optimized Na2ZnSn structure.

Unit cell a=3.2053 b=3.2053 c=9.5045 alpha=90.00 beta=90.00 gamma=90.00
With the nearest neighbours (Å) after each atom.
Fractional coordinates of all 4 atoms:
Na 0.0000 0.0000 0.2346  4 Zn 3.18, 4 Na 3.21, 4 Sn 3.39
Na 0.0000 0.0000 0.7654  4 Zn 3.18, 4 Na 3.21, 4 Sn 3.39
Zn 0.5000 0.5000 0.0000  8 Na 3.18, 4 Zn 3.21
Sn 0.5000 0.5000 0.5000  4 Sn 3.21, 8 Na 3.39

Computed properties:
Space-group type: P4/mmm, No. 123
Crystal system: tetragonal
Theoretical density (g/cm3): 3.9
Total moment (Bohr magnetons per cell): 0.000

VASP calculation (GGA-PBE) on a geometry-optimized NaZn3Sn3 structure.

Unit cell a=7.9087 b=7.9087 c=7.9087 alpha=58.35 beta=58.35 gamma=58.35
With the nearest neighbours (Å) after each atom.
Fractional coordinates of all 14 atoms:
Na 0.1670 0.1670 0.1670  6 Sn 3.20-3.32, 6 Zn 3.31-3.42
Na 0.8330 0.8330 0.8330  6 Sn 3.20-3.32, 6 Zn 3.31-3.42
Zn 0.0180 0.2136 0.6363  2 Zn 2.85, 4 Sn 2.85-2.92
Zn 0.2136 0.6363 0.0180  2 Zn 2.85, 4 Sn 2.85-2.92
Zn 0.3637 0.9820 0.7864  2 Zn 2.85, 4 Sn 2.85-2.92
Zn 0.6363 0.0180 0.2136  2 Zn 2.85, 4 Sn 2.85-2.92
Zn 0.7864 0.3637 0.9820  2 Zn 2.85, 4 Sn 2.85-2.92
Zn 0.9820 0.7864 0.3637  2 Zn 2.85, 4 Sn 2.85-2.92
Sn 0.1754 0.4417 0.6712  4 Zn 2.85-2.92
Sn 0.3288 0.8246 0.5583  4 Zn 2.85-2.92
Sn 0.4417 0.6712 0.1754  4 Zn 2.85-2.92
Sn 0.5583 0.3288 0.8246  4 Zn 2.85-2.92
Sn 0.6712 0.1754 0.4417  4 Zn 2.85-2.92
Sn 0.8246 0.5583 0.3288  4 Zn 2.85-2.92

Computed properties:
Space-group type: R-3, No. 148
Crystal system: trigonal
Polymorph energy (0 for the lowest one) (eV/f.u.): 0.00
Theoretical density (g/cm3): 5.7
Total moment (Bohr magnetons per cell): 0.000

The evaluated ΔH_f (0 K) for the records listed, in turn: -68, -25, 208, -117, -38, 88 meV per atom.
The evaluated calculated volume for the records listed, in turn: 408.0, 586.5, 152.7, 145.7, 97.6, 336.5 Å³ per cell.